(1)
Material: ZrZnPt
Method: DFT, PBE-GGA
State: optimized geometry

```
ZrZnPt
1.0
0.0000 3.1280 3.1280
3.1280 0.0000 3.1280
3.1280 3.1280 0.0000
Zr Zn Pt
1 1 1
direct
0.0000 0.0000 0.0000 Zr
0.5000 0.5000 0.5000 Zn
0.7500 0.7500 0.7500 Pt
```

Output
electronic total energy	-5.88	eV per atom
volume	20.403	Å³ per atom
calculated formation energy	-0.5965	eV/atom

=====

(2)
Material: Ac6Ir2I2Cl
Method: DFT, PBE-GGA
State: optimized geometry

```
Ac6Ir2I2Cl
1.0
4.0280 -6.6199 0.0000
4.0280 6.6199 0.0000
-2.4109 0.0000 8.0999
Ac Ir I Cl
6 2 2 1
direct
0.0804 0.4311 0.8054 Ac
0.1769 0.1769 0.2125 Ac
0.4311 0.0804 0.8054 Ac
0.5689 0.9196 0.1946 Ac
0.8231 0.8231 0.7875 Ac
0.9196 0.5689 0.1946 Ac
0.1707 0.8293 0.0000 Ir
0.8293 0.1707 0.0000 Ir
0.3403 0.6597 0.5000 I
0.6597 0.3403 0.5000 I
0.5000 0.5000 0.0000 Cl
```

Output
electronic total energy	-5.27	eV per atom
volume	39.270	Å³ per atom
E_form (uncorrected)	-966	meV/atom

=====

(3)
Material: PPbCl2
Method: DFT, PBE-GGA
State: optimized geometry

```
PPbCl2
1.0
3.5274 0.0000 0.0000
0.0000 4.5407 0.0000
0.0000 0.0000 5.8312
P Pb Cl
1 1 2
direct
0.0000 0.0000 0.0000 P
0.5000 0.0000 0.5000 Pb
0.0000 0.5000 0.5000 Cl
0.5000 0.5000 0.0000 Cl
```

Output
electronic total energy	-3.23	eV per atom
volume	23.349	Å³ per atom
distance to the lowest polymorph of the same formula	355	meV per atom
E_form (uncorrected)	-24	meV/atom

=====

(4)
Material: BeOsSe
Method: DFT, PBE-GGA
State: optimized geometry

```
BeOsSe
1.0
0.0000 2.3578 5.9954
1.5048 0.0000 5.9954
1.5048 2.3578 0.0000
Be Os Se
1 1 1
direct
0.0000 0.0000 0.0000 Be
0.3599 0.3599 0.6401 Os
0.6621 0.6621 0.3379 Se
```

Output
electronic total energy	-5.51	eV per atom
volume	14.181	Å³ per atom
distance to the lowest polymorph of the same formula	297	meV per atom
E_form (uncorrected)	639	meV/atom

=====

(5)
Material: Pm4NdHg4
Method: DFT, PBE-GGA
State: optimized geometry

```
Pm4NdHg4
1.0
9.6627 0.0000 0.0000
0.0000 9.6627 0.0000
0.0000 0.0000 5.7178
Pm Nd Hg
8 2 8
direct
0.0949 0.8378 0.1509 Pm
0.1622 0.5949 0.6509 Pm
0.3378 0.9051 0.6509 Pm
0.4051 0.6622 0.1509 Pm
0.5949 0.3378 0.8491 Pm
0.6622 0.0949 0.3491 Pm
0.8378 0.4051 0.3491 Pm
0.9051 0.1622 0.8491 Pm
0.2500 0.2500 0.7500 Nd
0.7500 0.7500 0.2500 Nd
0.0455 0.1458 0.3497 Hg
0.1458 0.4545 0.1503 Hg
0.3542 0.0455 0.1503 Hg
0.4545 0.3542 0.3497 Hg
0.5455 0.6458 0.6503 Hg
0.6458 0.9545 0.8497 Hg
0.8542 0.5455 0.8497 Hg
0.9545 0.8542 0.6503 Hg
```

Output
electronic total energy	-3.04	eV per atom
volume	29.659	Å³ per atom
calculated formation energy	-0.2664	eV/atom

=====

(6)
Material: Er2GaSi4Pt3
Method: DFT, PBE-GGA
State: optimized geometry

```
Er2GaSi4Pt3
1.0
4.0702 0.0000 0.0000
0.0000 4.0702 0.0000
0.0000 0.0000 10.4298
Er Ga Si Pt
2 1 4 3
direct
0.0000 0.5000 0.2470 Er
0.5000 0.0000 0.7530 Er
0.5000 0.5000 0.0000 Ga
0.0000 0.0000 0.5000 Si
0.0000 0.5000 0.8560 Si
0.5000 0.0000 0.1440 Si
0.5000 0.5000 0.5000 Si
0.0000 0.0000 0.0000 Pt
0.0000 0.5000 0.6292 Pt
0.5000 0.0000 0.3708 Pt
```

Output
electronic total energy	-6.13	eV per atom
volume	17.279	Å³ per atom
E_form (uncorrected)	-934	meV/atom

=====

(7)
Material: Ac6AlCd2
Method: DFT, PBE-GGA
State: optimized geometry

```
Ac6AlCd2
1.0
-5.4889 5.5254 5.6163
5.4889 -5.5254 5.6163
5.4889 5.5254 -5.6163
Ac Al Cd
12 2 4
direct
0.0552 0.2289 0.8263 Ac
0.2529 0.3053 0.5582 Ac
0.2529 0.6947 0.9476 Ac
0.2599 0.5826 0.3227 Ac
0.2599 0.9372 0.6773 Ac
0.4026 0.2289 0.1737 Ac
0.5974 0.7711 0.8263 Ac
0.7401 0.0628 0.3227 Ac
0.7401 0.4174 0.6773 Ac
0.7471 0.3053 0.0524 Ac
0.7471 0.6947 0.4418 Ac
0.9448 0.7711 0.1737 Ac
0.0000 0.5000 0.5000 Al
0.5000 0.5000 0.0000 Al
0.0000 0.1373 0.1373 Cd
0.0000 0.8627 0.8627 Cd
0.3694 0.0000 0.3694 Cd
0.6306 0.0000 0.6306 Cd
```

Output
electronic total energy	-3.48	eV per atom
volume	37.851	Å³ per atom
calculated formation energy	-0.1227	eV/atom

=====

(8)
Material: NaY3Hg4
Method: DFT, PBE-GGA
State: optimized geometry

```
NaY3Hg4
1.0
2.6125 1.5083 8.5939
-2.6125 1.5083 8.5939
0.0000 -3.0167 8.5939
Na Y Hg
1 3 4
direct
0.0000 0.0000 0.0000 Na
0.2537 0.2537 0.2537 Y
0.5000 0.5000 0.5000 Y
0.7463 0.7463 0.7463 Y
0.1258 0.1258 0.1258 Hg
0.3760 0.3760 0.3760 Hg
0.6240 0.6240 0.6240 Hg
0.8742 0.8742 0.8742 Hg
```

Output
electronic total energy	-3.18	eV per atom
volume	25.399	Å³ per atom
calculated formation energy	-0.4370	eV/atom

=====

(9)
Material: LaTl2Cd
Method: DFT, PBE-GGA
State: optimized geometry

```
LaTl2Cd
1.0
3.8092 0.0000 0.0000
0.0000 3.8092 0.0000
0.0000 0.0000 7.7825
La Tl Cd
1 2 1
direct
0.0000 0.0000 0.0000 La
0.5000 0.5000 0.2761 Tl
0.5000 0.5000 0.7239 Tl
0.0000 0.0000 0.5000 Cd
```

Output
electronic total energy	-2.83	eV per atom
volume	28.232	Å³ per atom
calculated formation energy	-0.1853	eV/atom

=====

(10)
Material: NaPrSi4
Method: DFT, PBE-GGA
State: optimized geometry

```
NaPrSi4
1.0
0.0000 3.8182 3.8182
3.8182 0.0000 3.8182
3.8182 3.8182 0.0000
Na Pr Si
1 1 4
direct
0.0000 0.0000 0.0000 Na
0.7500 0.7500 0.7500 Pr
0.3714 0.3714 0.3714 Si
0.3714 0.3714 0.8859 Si
0.3714 0.8859 0.3714 Si
0.8859 0.3714 0.3714 Si
```

Output
electronic total energy	-4.81	eV per atom
volume	18.554	Å³ per atom
E_form (uncorrected)	-181	meV/atom

=====

(11)
Material: Sc4InCu
Method: DFT, PBE-GGA
State: optimized geometry

```
Sc4InCu
1.0
2.3661 1.3661 7.5950
-2.3661 1.3661 7.5950
0.0000 -2.7321 7.5950
Sc In Cu
4 1 1
direct
0.1153 0.1153 0.1153 Sc
0.3661 0.3661 0.3661 Sc
0.6339 0.6339 0.6339 Sc
0.8847 0.8847 0.8847 Sc
0.5000 0.5000 0.5000 In
0.0000 0.0000 0.0000 Cu
```

Output
electronic total energy	-5.36	eV per atom
volume	24.551	Å³ per atom
distance to the lowest polymorph of the same formula	0	meV per atom
calculated formation energy	0.0046	eV/atom